Record 1
First-principles (PBE) data for crystalline Tl3RuI6 at its relaxed geometry, as listed in Alexandria.

formation energy from raw total energies = -0.31 eV per atom
energy = -28.76 eV per cell
space group = No. 69
crystal system = orthorhombic

```
data_Tl3RuI6
_symmetry_space_group_name_H-M 'P 1'
_symmetry_Int_Tables_number 1
_cell_length_a 9.489
_cell_length_b 8.803
_cell_length_c 7.817
_cell_angle_alpha 69.34
_cell_angle_beta 60.23
_cell_angle_gamma 50.43
loop_
_symmetry_equiv_pos_as_xyz
'x,y,z'
loop_
_atom_site_label
_atom_site_type_symbol
_atom_site_fract_x
_atom_site_fract_y
_atom_site_fract_z
Tl1 Tl 0.000 0.000 0.000
Tl2 Tl 0.250 0.250 0.250
Tl3 Tl 0.750 0.750 0.750
Ru1 Ru 0.500 0.500 0.500
I1 I 0.175 0.564 0.825
I2 I 0.275 0.725 0.275
I3 I 0.436 0.825 0.564
I4 I 0.564 0.175 0.436
I5 I 0.725 0.275 0.725
I6 I 0.825 0.436 0.175
```

Record 2
First-principles (PBE) data for crystalline TlRu2I at its relaxed geometry, as listed in Alexandria.

formation energy from raw total energies = 0.94 eV per atom
energy = -18.69 eV per cell
space group = No. 225
crystal system = cubic

```
data_TlRu2I
_symmetry_space_group_name_H-M 'P 1'
_symmetry_Int_Tables_number 1
_cell_length_a 4.730
_cell_length_b 4.730
_cell_length_c 4.730
_cell_angle_alpha 60.00
_cell_angle_beta 60.00
_cell_angle_gamma 60.00
loop_
_symmetry_equiv_pos_as_xyz
'x,y,z'
loop_
_atom_site_label
_atom_site_type_symbol
_atom_site_fract_x
_atom_site_fract_y
_atom_site_fract_z
Tl1 Tl 0.000 0.000 0.000
Ru1 Ru 0.250 0.250 0.250
Ru2 Ru 0.750 0.750 0.750
I1 I 0.500 0.500 0.500
```

Record 3
First-principles (PBE) data for crystalline Tm2RuI at its relaxed geometry, as listed in Alexandria.

formation energy from raw total energies = -0.59 eV per atom
energy = -22.15 eV per cell
space group = No. 166
crystal system = trigonal

```
data_Tm2RuI
_symmetry_space_group_name_H-M 'P 1'
_symmetry_Int_Tables_number 1
_cell_length_a 8.183
_cell_length_b 8.183
_cell_length_c 8.183
_cell_angle_alpha 28.33
_cell_angle_beta 28.33
_cell_angle_gamma 28.33
loop_
_symmetry_equiv_pos_as_xyz
'x,y,z'
loop_
_atom_site_label
_atom_site_type_symbol
_atom_site_fract_x
_atom_site_fract_y
_atom_site_fract_z
Tm1 Tm 0.227 0.227 0.227
Tm2 Tm 0.773 0.773 0.773
Ru1 Ru 0.500 0.500 0.500
I1 I 0.000 0.000 0.000
```

Record 4
First-principles (PBE) data for crystalline Tm4RuI2 at its relaxed geometry, as listed in Alexandria.

formation energy from raw total energies = -0.49 eV per atom
energy = -33.68 eV per cell
space group = No. 65
crystal system = orthorhombic

```
data_Tm4RuI2
_symmetry_space_group_name_H-M 'P 1'
_symmetry_Int_Tables_number 1
_cell_length_a 11.799
_cell_length_b 11.799
_cell_length_c 4.508
_cell_angle_alpha 90.00
_cell_angle_beta 90.00
_cell_angle_gamma 155.49
loop_
_symmetry_equiv_pos_as_xyz
'x,y,z'
loop_
_atom_site_label
_atom_site_type_symbol
_atom_site_fract_x
_atom_site_fract_y
_atom_site_fract_z
Tm1 Tm 0.068 0.932 0.000
Tm2 Tm 0.430 0.570 0.500
Tm3 Tm 0.570 0.430 0.500
Tm4 Tm 0.932 0.068 0.000
Ru1 Ru 0.500 0.500 0.000
I1 I 0.168 0.832 0.500
I2 I 0.832 0.168 0.500
```

Record 5
First-principles (PBE) data for crystalline Tm4RuI5 at its relaxed geometry, as listed in Alexandria.

formation energy from raw total energies = -1.01 eV per atom
energy = -45.06 eV per cell
space group = No. 12
crystal system = monoclinic

```
data_Tm4RuI5
_symmetry_space_group_name_H-M 'P 1'
_symmetry_Int_Tables_number 1
_cell_length_a 9.902
_cell_length_b 9.902
_cell_length_c 8.921
_cell_angle_alpha 102.39
_cell_angle_beta 102.39
_cell_angle_gamma 23.70
loop_
_symmetry_equiv_pos_as_xyz
'x,y,z'
loop_
_atom_site_label
_atom_site_type_symbol
_atom_site_fract_x
_atom_site_fract_y
_atom_site_fract_z
Tm1 Tm 0.000 0.000 0.202
Tm2 Tm 0.000 0.000 0.798
Tm3 Tm 0.362 0.362 0.930
Tm4 Tm 0.638 0.638 0.070
Ru1 Ru 0.500 0.500 0.000
I1 I 0.168 0.168 0.338
I2 I 0.177 0.177 0.835
I3 I 0.500 0.500 0.500
I4 I 0.823 0.823 0.165
I5 I 0.832 0.832 0.662
```

Record 6
First-principles (PBE) data for crystalline Tm2RuI at its relaxed geometry, as listed in Alexandria.

formation energy from raw total energies = -0.56 eV per atom
energy = -21.99 eV per cell
space group = No. 123
crystal system = tetragonal

```
data_Tm2RuI
_symmetry_space_group_name_H-M 'P 1'
_symmetry_Int_Tables_number 1
_cell_length_a 3.457
_cell_length_b 3.457
_cell_length_c 8.279
_cell_angle_alpha 90.00
_cell_angle_beta 90.00
_cell_angle_gamma 90.00
loop_
_symmetry_equiv_pos_as_xyz
'x,y,z'
loop_
_atom_site_label
_atom_site_type_symbol
_atom_site_fract_x
_atom_site_fract_y
_atom_site_fract_z
Tm1 Tm 0.000 0.000 0.196
Tm2 Tm 0.000 0.000 0.804
Ru1 Ru 0.500 0.500 0.000
I1 I 0.500 0.500 0.500
```

Record 7
First-principles (PBE) data for crystalline URuI at its relaxed geometry, as listed in Alexandria.

formation energy from raw total energies = -0.27 eV per atom
energy = -45.83 eV per cell
space group = No. 2
crystal system = triclinic

```
data_URuI
_symmetry_space_group_name_H-M 'P 1'
_symmetry_Int_Tables_number 1
_cell_length_a 4.058
_cell_length_b 4.853
_cell_length_c 10.777
_cell_angle_alpha 91.41
_cell_angle_beta 99.45
_cell_angle_gamma 114.67
loop_
_symmetry_equiv_pos_as_xyz
'x,y,z'
loop_
_atom_site_label
_atom_site_type_symbol
_atom_site_fract_x
_atom_site_fract_y
_atom_site_fract_z
U1 U 0.190 0.296 0.097
U2 U 0.810 0.704 0.903
Ru1 Ru 0.455 0.819 0.105
Ru2 Ru 0.545 0.181 0.895
I1 I 0.265 0.819 0.667
I2 I 0.735 0.181 0.333
```

Record 8
First-principles (PBE) data for crystalline VRuI at its relaxed geometry, as listed in Alexandria.

formation energy from raw total energies = -0.14 eV per atom
energy = -81.47 eV per cell
space group = No. 57
crystal system = orthorhombic

```
data_VRuI
_symmetry_space_group_name_H-M 'P 1'
_symmetry_Int_Tables_number 1
_cell_length_a 10.315
_cell_length_b 4.381
_cell_length_c 5.886
_cell_angle_alpha 90.00
_cell_angle_beta 90.00
_cell_angle_gamma 90.00
loop_
_symmetry_equiv_pos_as_xyz
'x,y,z'
loop_
_atom_site_label
_atom_site_type_symbol
_atom_site_fract_x
_atom_site_fract_y
_atom_site_fract_z
V1 V 0.117 0.250 0.000
V2 V 0.117 0.250 0.500
V3 V 0.883 0.750 0.000
V4 V 0.883 0.750 0.500
Ru1 Ru 0.083 0.737 0.250
Ru2 Ru 0.083 0.763 0.750
Ru3 Ru 0.917 0.237 0.250
Ru4 Ru 0.917 0.263 0.750
I1 I 0.321 0.505 0.750
I2 I 0.321 0.995 0.250
I3 I 0.679 0.005 0.750
I4 I 0.679 0.495 0.250
```

Record 9
First-principles (PBE) data for crystalline VRuI2 at its relaxed geometry, as listed in Alexandria.

formation energy from raw total energies = 0.82 eV per atom
energy = -18.21 eV per cell
space group = No. 225
crystal system = cubic

```
data_VRuI2
_symmetry_space_group_name_H-M 'P 1'
_symmetry_Int_Tables_number 1
_cell_length_a 4.878
_cell_length_b 4.878
_cell_length_c 4.878
_cell_angle_alpha 60.00
_cell_angle_beta 60.00
_cell_angle_gamma 60.00
loop_
_symmetry_equiv_pos_as_xyz
'x,y,z'
loop_
_atom_site_label
_atom_site_type_symbol
_atom_site_fract_x
_atom_site_fract_y
_atom_site_fract_z
V1 V 0.000 0.000 0.000
Ru1 Ru 0.500 0.500 0.500
I1 I 0.250 0.250 0.250
I2 I 0.750 0.750 0.750
```

Record 10
First-principles (PBE) data for crystalline V2RuI2 at its relaxed geometry, as listed in Alexandria.

formation energy from raw total energies = 0.95 eV per atom
energy = -51.72 eV per cell
space group = No. 127
crystal system = tetragonal

```
data_V2RuI2
_symmetry_space_group_name_H-M 'P 1'
_symmetry_Int_Tables_number 1
_cell_length_a 7.477
_cell_length_b 7.477
_cell_length_c 3.371
_cell_angle_alpha 90.00
_cell_angle_beta 90.00
_cell_angle_gamma 90.00
loop_
_symmetry_equiv_pos_as_xyz
'x,y,z'
loop_
_atom_site_label
_atom_site_type_symbol
_atom_site_fract_x
_atom_site_fract_y
_atom_site_fract_z
V1 V 0.144 0.356 0.000
V2 V 0.356 0.856 0.000
V3 V 0.644 0.144 0.000
V4 V 0.856 0.644 0.000
Ru1 Ru 0.000 0.000 0.500
Ru2 Ru 0.500 0.500 0.500
I1 I 0.160 0.660 0.500
I2 I 0.340 0.160 0.500
I3 I 0.660 0.840 0.500
I4 I 0.840 0.340 0.500
```

Record 11
First-principles (PBE) data for crystalline VRu2I at its relaxed geometry, as listed in Alexandria.

formation energy from raw total energies = 0.76 eV per atom
energy = -26.18 eV per cell
space group = No. 225
crystal system = cubic

```
data_VRu2I
_symmetry_space_group_name_H-M 'P 1'
_symmetry_Int_Tables_number 1
_cell_length_a 4.514
_cell_length_b 4.514
_cell_length_c 4.514
_cell_angle_alpha 60.00
_cell_angle_beta 60.00
_cell_angle_gamma 60.00
loop_
_symmetry_equiv_pos_as_xyz
'x,y,z'
loop_
_atom_site_label
_atom_site_type_symbol
_atom_site_fract_x
_atom_site_fract_y
_atom_site_fract_z
V1 V 0.000 0.000 0.000
Ru1 Ru 0.250 0.250 0.250
Ru2 Ru 0.750 0.750 0.750
I1 I 0.500 0.500 0.500
```

Record 12
First-principles (PBE) data for crystalline VRuI at its relaxed geometry, as listed in Alexandria.

formation energy from raw total energies = -0.01 eV per atom
energy = -39.92 eV per cell
space group = No. 2
crystal system = triclinic

```
data_VRuI
_symmetry_space_group_name_H-M 'P 1'
_symmetry_Int_Tables_number 1
_cell_length_a 4.024
_cell_length_b 4.133
_cell_length_c 10.167
_cell_angle_alpha 101.13
_cell_angle_beta 90.18
_cell_angle_gamma 119.12
loop_
_symmetry_equiv_pos_as_xyz
'x,y,z'
loop_
_atom_site_label
_atom_site_type_symbol
_atom_site_fract_x
_atom_site_fract_y
_atom_site_fract_z
V1 V 0.174 0.347 0.056
V2 V 0.826 0.653 0.944
Ru1 Ru 0.500 0.002 0.872
Ru2 Ru 0.500 0.998 0.128
I1 I 0.102 0.199 0.313
I2 I 0.898 0.801 0.687
```

Question: Which value of formation energy from raw total energies does entry 2 give?
Answer: 0.94 eV per atom

Question: What is the formula in the eleventh record?
Answer: VRu2I

Question: Among the records above, which one has the highest formation energy from raw total energies?
Answer: V2RuI2

Question: Which of these has the highest formation energy from raw total energies?
Answer: V2RuI2